1.
Here is an optimized crystal structure of Co3Ag5 from Alexandria. Energies are from PBE.

Lattice parameters (Å, degrees): 6.5977 7.7425 7.8120 91.59 98.36 138.81
Sites, in units of the cell vectors:
Co: 0.2957 0.4390 0.5297
Ag: 0.5720 0.3034 0.1475
Co: 0.8487 0.2779 0.9426
Ag: 0.4072 0.5603 0.2044
Ag: 0.4290 0.6969 0.8534
Ag: 0.5926 0.4398 0.7961
Co: 0.7059 0.5634 0.4709
Co: 0.1514 0.7215 0.0575
Ag: 0.2115 0.7054 0.4051
Ag: 0.7860 0.0968 0.2442
Ag: 0.2146 0.9036 0.7565
Co: 0.0877 0.1676 0.9358
Ag: 0.7901 0.2969 0.5953
Ag: 0.1837 0.0442 0.3962
Ag: 0.8181 0.9583 0.6052
Co: 0.9125 0.8315 0.0660

Total DFT energy (no corrections): -64.1 eV for the cell shown
Polymorph energy (0 for the lowest one): 0.000 eV per atom
Formation enthalpy at 0 K: 0.440 eV/atom
Space group: P1 (1)
Magnetic moment: 0.651 μB/atom

2.
Here is an optimized crystal structure of CsRb2CdPt from Alexandria. Energies are from PBE.

Lattice parameters (Å, degrees): 6.4816 6.4816 6.6740 90.00 90.00 90.00
Sites, in units of the cell vectors:
Cd: 0.5000 0.5000 0.5000
Rb: 0.0000 0.5000 0.0000
Cs: 0.0000 0.0000 0.5000
Rb: 0.5000 0.0000 0.0000
Pt: 0.0000 0.0000 0.0000

Total DFT energy (no corrections): -9.2 eV for the cell shown
Polymorph energy (0 for the lowest one): 0.104 eV per atom
Formation enthalpy at 0 K: 0.110 eV/atom
Space group: P4/mmm (123)
Magnetic moment: 0.173 μB/atom

3.
Here is an optimized crystal structure of CaSm2ErAs4 from Alexandria. Energies are from PBE.

Lattice parameters (Å, degrees): 4.1854 7.2319 7.2842 70.52 90.00 90.00
Sites, in units of the cell vectors:
As: 0.0000 0.2501 0.2559
As: 0.5000 0.7452 0.2566
Er: 0.0000 0.5000 0.5000
As: 0.5000 0.2548 0.7434
Sm: 0.5000 0.0000 0.5000
Sm: 0.0000 0.0000 0.0000
Ca: 0.5000 0.5000 0.0000
As: 0.0000 0.7499 0.7441

Total DFT energy (no corrections): -45.4 eV for the cell shown
Formation enthalpy at 0 K: -1.355 eV/atom
Space group: P2/m (10)
Magnetic moment: 0.000 μB/atom

- Number 3 is which compound?
  CaSm2ErAs4

- The lowest formation enthalpy at 0 K belongs to which entry?
  CaSm2ErAs4

- Among the records above, which one has the lowest formation enthalpy at 0 K?
  CaSm2ErAs4